This record from Alexandria describes a relaxed TaTc2Ru crystal. The functional is PBE.

Results
Formation energy from the elements: 0.024 eV/atom
Relative energy among the computed polymorphs: 0.079 eV per atom
D(E_F): 4.9 states/eV/f.u.
Electronic total energy: -10.441 eV per atom

The structure in POSCAR format:
```
TaTc2Ru
1.0
-1.4749 -3.0063 3.4543
4.7020 -0.6174 -0.8092
0.5900 1.9447 1.9444
Tc Ta Ru
2 1 1
direct
0.0000 0.0000 0.0000
0.5000 0.5000 0.0000
0.0000 0.5000 0.5000
0.5000 0.0000 0.5000
```

---

This record from Alexandria describes a relaxed Li12GaHg6 crystal. The functional is PBE.

Results
Formation energy from the elements: -0.278 eV/atom
D(E_F): 5.3 states/eV/f.u.
Electronic total energy: -1.741 eV per atom

The structure in POSCAR format:
```
Li12GaHg6
1.0
-4.6383 5.3366 -0.5341
-2.4617 -2.8534 -6.0064
-4.6492 -3.7733 3.7981
Li Hg Ga
12 6 1
direct
0.8027 0.5296 0.4329
0.1973 0.4704 0.5671
0.6321 0.9701 0.8527
0.9701 0.8527 0.6321
0.3679 0.0299 0.1473
0.1473 0.3679 0.0299
0.5296 0.4329 0.8027
0.0299 0.1473 0.3679
0.8527 0.6321 0.9701
0.4704 0.5671 0.1973
0.4329 0.8027 0.5296
0.5671 0.1973 0.4704
0.1229 0.7194 0.2870
0.8771 0.2806 0.7130
0.7194 0.2870 0.1229
0.2806 0.7130 0.8771
0.2870 0.1229 0.7194
0.7130 0.8771 0.2806
0.0000 0.0000 0.0000
```